# LaPr2SmTm GGA-PBE optimized geometry
data_LaPr2SmTm
_chemical_formula_sum 'La2 Pr4 Sm2 Tm2'
_space_group_name_H-M_alt 'P 1 2/c 1'
_space_group_IT_number 13
_cell_length_a 8.625
_cell_length_b 6.565
_cell_length_c 6.354
_cell_angle_alpha 90.00
_cell_angle_beta 95.78
_cell_angle_gamma 90.00
loop_
_space_group_symop_operation_xyz
'x,y,z'
'-x,-y,-z'
'-x,y,-z+1/2'
'x,-y,z+1/2'
loop_
_atom_site_label
_atom_site_type_symbol
_atom_site_fract_x
_atom_site_fract_y
_atom_site_fract_z
La1 La 0.000 0.000 0.000
Pr1 Pr 0.313 0.309 0.217
Sm1 Sm 0.000 0.439 0.750
Tm1 Tm 0.500 0.167 0.750
# Total magnetic moment: 0.0 Bohr magnetons per cell
# Total DFT energy (no corrections): -44.70 eV/cell
# Energy of formation from the pure elements: 0.27 eV per atom